Record 1
{"formula": "LaScCd11", "functional": "PBE", "state": "optimized geometry", "mass_density_g_cm3": 7.68, "magnetic_moment_mub_per_cell": 0.0, "final_energy_ev_per_atom": -1.81, "e_form_ev_per_fu": -2.1, "n_ef_per_ev_fu": 5.87, "cell": [[3.042, -7.043, 0.000], [3.042, 7.043, 0.000], [-3.014, 0.000, 7.163]], "species": ["La", "Sc", "Cd", "Cd", "Cd", "Cd", "Cd", "Cd", "Cd", "Cd", "Cd", "Cd", "Cd"], "frac_coords": [[0.000, 0.000, 0.000], [0.500, 0.500, 0.500], [0.000, 0.000, 0.500], [0.000, 0.500, 0.000], [0.008, 0.355, 0.350], [0.290, 0.505, 0.786], [0.355, 0.008, 0.350], [0.495, 0.710, 0.214], [0.500, 0.000, 0.000], [0.505, 0.290, 0.786], [0.645, 0.992, 0.650], [0.710, 0.495, 0.214], [0.992, 0.645, 0.650]]}

***

Record 2
{"formula": "La2ScCd", "functional": "PBE", "state": "optimized geometry", "mass_density_g_cm3": 6.05, "magnetic_moment_mub_per_cell": 0.0, "final_energy_ev_per_atom": -4.34, "e_form_ev_per_fu": -0.3, "n_ef_per_ev_fu": 6.90, "cell": [[3.533, 0.000, 0.000], [0.000, 24.951, 0.000], [0.000, 0.000, 5.424]], "species": ["La", "La", "La", "La", "La", "La", "La", "La", "Sc", "Sc", "Sc", "Sc", "Cd", "Cd", "Cd", "Cd"], "frac_coords": [[0.000, 0.076, 0.250], [0.000, 0.162, 0.750], [0.000, 0.838, 0.250], [0.000, 0.924, 0.750], [0.500, 0.338, 0.250], [0.500, 0.424, 0.750], [0.500, 0.576, 0.250], [0.500, 0.662, 0.750], [0.000, 0.288, 0.750], [0.000, 0.712, 0.250], [0.500, 0.212, 0.250], [0.500, 0.788, 0.750], [0.000, 0.461, 0.250], [0.000, 0.539, 0.750], [0.500, 0.039, 0.750], [0.500, 0.961, 0.250]]}

***

Record 3
{"formula": "LaScCd2", "functional": "PBE", "state": "optimized geometry", "mass_density_g_cm3": 6.43, "magnetic_moment_mub_per_cell": 0.0, "final_energy_ev_per_atom": -3.43, "e_form_ev_per_fu": -0.6, "n_ef_per_ev_fu": 4.55, "e_above_lowest_polymorph_mev_per_atom": 144.1, "cell": [[3.587, 0.000, 0.000], [0.000, 5.382, 0.000], [0.000, 0.000, 10.928]], "species": ["La", "La", "Sc", "Sc", "Cd", "Cd", "Cd", "Cd"], "frac_coords": [[0.000, 0.000, 0.000], [0.500, 0.500, 0.500], [0.000, 0.500, 0.772], [0.500, 0.000, 0.272], [0.000, 0.000, 0.518], [0.000, 0.500, 0.234], [0.500, 0.000, 0.734], [0.500, 0.500, 0.018]]}

***

Record 4
{"formula": "La2ScCd", "functional": "PBE", "state": "optimized geometry", "mass_density_g_cm3": 6.25, "magnetic_moment_mub_per_cell": 10.5, "final_energy_ev_per_atom": -4.27, "e_form_ev_per_fu": 0.0, "n_ef_per_ev_fu": 4.05, "cell": [[7.735, 0.000, 0.000], [0.000, 7.735, 0.000], [0.000, 0.000, 7.735]], "species": ["La", "La", "La", "La", "La", "La", "La", "La", "Sc", "Sc", "Sc", "Sc", "Cd", "Cd", "Cd", "Cd"], "frac_coords": [[0.000, 0.000, 0.000], [0.000, 0.500, 0.500], [0.250, 0.250, 0.250], [0.250, 0.750, 0.750], [0.500, 0.000, 0.500], [0.500, 0.500, 0.000], [0.750, 0.250, 0.750], [0.750, 0.750, 0.250], [0.250, 0.250, 0.750], [0.250, 0.750, 0.250], [0.750, 0.250, 0.250], [0.750, 0.750, 0.750], [0.000, 0.000, 0.500], [0.000, 0.500, 0.000], [0.500, 0.000, 0.000], [0.500, 0.500, 0.500]]}

***

Record 5
{"formula": "La2ScCd", "functional": "PBE", "state": "optimized geometry", "mass_density_g_cm3": 6.27, "magnetic_moment_mub_per_cell": 0.0, "final_energy_ev_per_atom": -4.29, "e_form_ev_per_fu": -0.1, "n_ef_per_ev_fu": 6.88, "cell": [[3.683, 0.000, 0.000], [0.000, 5.488, 0.000], [0.000, 0.000, 5.704]], "species": ["La", "La", "Sc", "Cd"], "frac_coords": [[0.000, 0.000, 0.000], [0.500, 0.500, 0.000], [0.000, 0.500, 0.500], [0.500, 0.000, 0.500]]}

***

Record 6
{"formula": "LaSc5Cd4", "functional": "PBE", "state": "optimized geometry", "mass_density_g_cm3": 5.68, "magnetic_moment_mub_per_cell": 0.0, "final_energy_ev_per_atom": -4.24, "e_form_ev_per_fu": -2.2, "n_ef_per_ev_fu": 12.40, "cell": [[3.533, 0.000, 0.000], [0.000, 3.533, 0.000], [0.000, 0.000, 19.048]], "species": ["La", "Sc", "Sc", "Sc", "Sc", "Sc", "Cd", "Cd", "Cd", "Cd"], "frac_coords": [[0.000, 0.000, 0.000], [0.500, 0.500, 0.127], [0.500, 0.500, 0.314], [0.500, 0.500, 0.500], [0.500, 0.500, 0.686], [0.500, 0.500, 0.873], [0.000, 0.000, 0.219], [0.000, 0.000, 0.406], [0.000, 0.000, 0.594], [0.000, 0.000, 0.781]]}